Material: CdNi2Cl
Method: DFT, GGA-PBEsol
State: relaxed

abc: 4.037 4.037 4.556
angles: 116.30 116.30 90.00
Element x y z (fractional)
Cd (0.500, 0.500, 0.000)
Cl (0.000, 0.000, 0.000)
Ni (0.750, 0.250, 0.500)
Ni (0.250, 0.750, 0.500)

## Properties
Energy relative to the lowest polymorph listed for this composition   220 meV per atom
Formation energy from raw total energies   0.4696 eV per atom
Space-group type   I4/mmm
DOS(E_F)   5.9 states/eV per cell
VASP energy   -13.64 eV/cell

Material: CdNi2Cl
Method: DFT, GGA-PBEsol
State: relaxed

abc: 2.933 2.933 7.725
angles: 90.00 90.00 118.41
Element x y z (fractional)
Cd (0.500, 0.500, 0.500)
Cl (0.500, 0.500, 0.000)
Ni (0.000, 0.000, 0.226)
Ni (0.000, 0.000, 0.774)

## Properties
Energy relative to the lowest polymorph listed for this composition   23 meV per atom
Formation energy from raw total energies   0.2728 eV per atom
Space-group type   Cmmm
DOS(E_F)   4.2 states/eV per cell
VASP energy   -14.43 eV/cell

Material: CdNiSCl2
Method: DFT, GGA-PBEsol
State: relaxed

abc: 4.938 4.938 5.067
angles: 90.00 90.00 90.00
Element x y z (fractional)
Ni (0.500, 0.500, 0.500)
S (0.000, 0.000, 0.500)
Cl (0.000, 0.500, 0.000)
Cl (0.500, 0.000, 0.000)
Cd (0.000, 0.000, 0.000)

## Properties
Formation energy from raw total energies   0.5058 eV per atom
Space-group type   P4/mmm
DOS(E_F)   4.1 states/eV per cell
VASP energy   -13.23 eV/cell

Material: Cd3Cl2O2
Method: DFT, GGA-PBEsol
State: relaxed

abc: 6.404 6.620 6.722
angles: 90.00 90.00 115.76
Element x y z (fractional)
Cd (0.588, 0.233, 0.125)
Cd (0.412, 0.267, 0.625)
Cd (0.412, 0.767, 0.875)
Cd (0.588, 0.733, 0.375)
Cd (0.000, 0.500, 0.500)
Cd (0.000, 0.000, 0.000)
Cl (0.193, 0.934, 0.363)
Cl (0.807, 0.566, 0.863)
Cl (0.193, 0.434, 0.137)
Cl (0.807, 0.066, 0.637)
O (0.668, 0.438, 0.386)
O (0.332, 0.062, 0.886)
O (0.332, 0.562, 0.614)
O (0.668, 0.938, 0.114)

## Properties
Formation energy from raw total energies   -1.0470 eV per atom
Space-group type   P2_1/c
VASP energy   -50.87 eV/cell

Material: Cd5P3ClO12
Method: DFT, GGA-PBEsol
State: relaxed

abc: 6.472 9.768 9.768
angles: 120.00 90.00 90.00
Element x y z (fractional)
Cd (0.496, 0.667, 0.333)
Cd (0.996, 0.333, 0.667)
Cd (0.004, 0.667, 0.333)
Cd (0.504, 0.333, 0.667)
Cd (0.750, 0.973, 0.248)
Cd (0.250, 0.248, 0.274)
Cd (0.250, 0.726, 0.973)
Cd (0.750, 0.274, 0.027)
Cd (0.750, 0.752, 0.726)
Cd (0.250, 0.027, 0.752)
P (0.250, 0.379, 0.974)
P (0.250, 0.026, 0.405)
P (0.750, 0.974, 0.595)
P (0.750, 0.405, 0.379)
P (0.750, 0.621, 0.026)
P (0.250, 0.595, 0.621)
Cl (0.250, 0.000, 0.000)
Cl (0.750, 0.000, 0.000)
O (0.750, 0.356, 0.506)
O (0.942, 0.731, 0.075)
O (0.058, 0.656, 0.731)
O (0.558, 0.731, 0.075)
O (0.558, 0.925, 0.656)
O (0.058, 0.075, 0.344)
O (0.058, 0.269, 0.925)
O (0.558, 0.344, 0.269)
O (0.942, 0.344, 0.269)
O (0.442, 0.269, 0.925)
O (0.442, 0.656, 0.731)
O (0.750, 0.591, 0.457)
O (0.250, 0.457, 0.866)
O (0.250, 0.134, 0.591)
O (0.750, 0.866, 0.409)
O (0.750, 0.543, 0.134)
O (0.250, 0.644, 0.494)
O (0.750, 0.494, 0.849)
O (0.750, 0.151, 0.644)
O (0.250, 0.849, 0.356)
O (0.250, 0.506, 0.151)
O (0.942, 0.925, 0.656)
O (0.250, 0.409, 0.543)
O (0.442, 0.075, 0.344)

## Properties
Formation energy from raw total energies   -1.7718 eV per atom
Space-group type   P6_3/m
DOS(E_F)   0.0 states/eV per cell
VASP energy   -251.13 eV/cell

Material: CdPb2Cl2O2
Method: DFT, GGA-PBEsol
State: relaxed

abc: 3.818 6.428 6.988
angles: 68.81 74.15 72.72
Element x y z (fractional)
Pb (0.816, 0.611, 0.758)
Pb (0.184, 0.389, 0.242)
Cl (0.561, 0.175, 0.703)
Cl (0.439, 0.825, 0.297)
O (0.805, 0.318, 0.071)
O (0.195, 0.682, 0.929)
Cd (0.000, 0.000, 0.000)

## Properties
Formation energy from raw total energies   -1.1588 eV per atom
Space-group type   C2/m
DOS(E_F)   0.0 states/eV per cell
VASP energy   -31.82 eV/cell

Material: Rb4V5CdClO15
Method: DFT, GGA-PBEsol
State: relaxed

abc: 5.567 9.125 9.125
angles: 90.00 90.00 90.00
Element x y z (fractional)
Rb (0.939, 0.676, 0.838)
Rb (0.939, 0.162, 0.676)
Rb (0.939, 0.324, 0.162)
Rb (0.939, 0.838, 0.324)
V (0.462, 0.618, 0.142)
V (0.462, 0.142, 0.382)
V (0.462, 0.382, 0.858)
V (0.487, 0.500, 0.500)
V (0.462, 0.858, 0.618)
Cd (0.498, 0.000, 0.000)
Cl (0.040, 0.000, 0.000)
O (0.167, 0.141, 0.383)
O (0.575, 0.000, 0.500)
O (0.567, 0.788, 0.113)
O (0.567, 0.113, 0.212)
O (0.167, 0.617, 0.141)
O (0.200, 0.500, 0.500)
O (0.567, 0.212, 0.887)
O (0.575, 0.446, 0.690)
O (0.575, 0.690, 0.554)
O (0.575, 0.310, 0.446)
O (0.575, 0.500, 0.000)
O (0.167, 0.383, 0.859)
O (0.567, 0.887, 0.788)
O (0.167, 0.859, 0.617)
O (0.575, 0.554, 0.310)

## Properties
Formation energy from raw total energies   -2.2366 eV per atom
Space-group type   P4
DOS(E_F)   0.0 states/eV per cell
VASP energy   -192.37 eV/cell

Material: Cd2TeCl2O3
Method: DFT, GGA-PBEsol
State: relaxed

abc: 8.336 10.900 15.669
angles: 90.00 90.00 90.00
Element x y z (fractional)
Cd (0.904, 0.222, 0.450)
Cd (0.659, 0.972, 0.392)
Cd (0.596, 0.778, 0.950)
Cd (0.904, 0.278, 0.050)
Cd (0.841, 0.028, 0.892)
Cd (0.341, 0.028, 0.608)
Cd (0.096, 0.722, 0.950)
Cd (0.659, 0.528, 0.108)
Cd (0.404, 0.278, 0.450)
Cd (0.841, 0.472, 0.608)
Cd (0.159, 0.528, 0.392)
Cd (0.096, 0.778, 0.550)
Cd (0.404, 0.222, 0.050)
Cd (0.596, 0.722, 0.550)
Cd (0.341, 0.472, 0.892)
Cd (0.159, 0.972, 0.108)
Te (0.274, 0.976, 0.892)
Te (0.774, 0.524, 0.892)
Te (0.726, 0.476, 0.392)
Te (0.226, 0.024, 0.392)
Te (0.726, 0.024, 0.108)
Te (0.274, 0.524, 0.608)
Te (0.226, 0.476, 0.108)
Te (0.774, 0.976, 0.608)
Cl (0.355, 0.077, 0.200)
Cl (0.457, 0.232, 0.616)
Cl (0.145, 0.923, 0.700)
Cl (0.457, 0.268, 0.884)
Cl (0.855, 0.423, 0.200)
Cl (0.645, 0.577, 0.700)
Cl (0.355, 0.423, 0.300)
Cl (0.043, 0.768, 0.116)
Cl (0.645, 0.923, 0.800)
Cl (0.145, 0.577, 0.800)
Cl (0.543, 0.768, 0.384)
Cl (0.043, 0.732, 0.384)
Cl (0.855, 0.077, 0.300)
Cl (0.957, 0.268, 0.616)
Cl (0.957, 0.232, 0.884)
Cl (0.543, 0.732, 0.116)
O (0.198, 0.545, 0.998)
O (0.939, 0.422, 0.411)
O (0.160, 0.316, 0.078)
O (0.302, 0.455, 0.498)
O (0.840, 0.684, 0.922)
O (0.840, 0.816, 0.578)
O (0.561, 0.578, 0.911)
O (0.802, 0.045, 0.498)
O (0.160, 0.184, 0.422)
O (0.340, 0.816, 0.922)
O (0.061, 0.922, 0.911)
O (0.939, 0.078, 0.089)
O (0.698, 0.545, 0.502)
O (0.340, 0.684, 0.578)
O (0.061, 0.578, 0.589)
O (0.302, 0.045, 0.002)
O (0.660, 0.316, 0.422)
O (0.660, 0.184, 0.078)
O (0.802, 0.455, 0.002)
O (0.698, 0.955, 0.998)
O (0.198, 0.955, 0.502)
O (0.439, 0.078, 0.411)
O (0.561, 0.922, 0.589)
O (0.439, 0.422, 0.089)

## Properties
Formation energy from raw total energies   -1.0640 eV per atom
Space-group type   Pccn
DOS(E_F)   0.0 states/eV per cell
VASP energy   -273.57 eV/cell